Li3Tm4Te8: relaxed, PBE.

Cell and atoms, written as POSCAR:
```
Li3Tm4Te8
1.0
5.993 -6.085 0.000
5.993 6.085 0.000
-5.937 0.000 6.098
Li Tm Te
3 4 8
direct
0.000 0.000 0.000 Li
0.000 0.500 0.000 Li
0.500 0.000 0.000 Li
0.000 0.500 0.500 Tm
0.500 0.000 0.500 Tm
0.500 0.500 0.000 Tm
0.500 0.500 0.500 Tm
0.242 0.242 0.498 Te
0.249 0.751 0.000 Te
0.250 0.750 0.500 Te
0.252 0.252 0.006 Te
0.748 0.748 0.994 Te
0.750 0.250 0.500 Te
0.751 0.249 0.000 Te
0.758 0.758 0.502 Te
```

Results
* SG: C2/m (12)
* calculated volume: 29.65 Å³ per atom
* density of states at the Fermi level: 7.14 states/eV/cell
* uncorrected formation energy: -27.0 kcal/mol of atoms

=====

LiTm5Te4: relaxed, PBE.

Cell and atoms, written as POSCAR:
```
LiTm5Te4
1.0
8.920 -2.048 0.000
8.920 2.048 0.000
-1.749 0.000 8.046
Li Tm Te
1 5 4
direct
0.000 0.000 0.000 Li
0.000 0.000 0.500 Tm
0.312 0.312 0.638 Tm
0.331 0.331 0.205 Tm
0.669 0.669 0.795 Tm
0.688 0.688 0.362 Tm
0.161 0.161 0.067 Te
0.493 0.493 0.757 Te
0.507 0.507 0.243 Te
0.839 0.839 0.933 Te
```

Results
* SG: C2/m (12)
* calculated volume: 29.40 Å³ per atom
* density of states at the Fermi level: 7.04 states/eV/cell
* uncorrected formation energy: -19.4 kcal/mol of atoms

=====

LiTmTe: relaxed, PBE.

Cell and atoms, written as POSCAR:
```
LiTmTe
1.0
8.949 0.000 0.000
0.000 8.949 0.000
0.000 0.000 4.213
Li Tm Te
4 4 4
direct
0.139 0.187 0.000 Li
0.187 0.861 0.500 Li
0.813 0.139 0.500 Li
0.861 0.813 0.000 Li
0.292 0.480 0.500 Tm
0.480 0.708 0.000 Tm
0.520 0.292 0.000 Tm
0.708 0.520 0.500 Tm
0.132 0.684 0.000 Te
0.316 0.132 0.500 Te
0.684 0.868 0.500 Te
0.868 0.316 0.000 Te
```

Results
* SG: P4_2/m (84)
* ΔE to the lowest computed polymorph: 59.4 meV/atom
* calculated volume: 28.12 Å³ per atom
* density of states at the Fermi level: 8.12 states/eV/cell
* uncorrected formation energy: -16.4 kcal/mol of atoms

=====

LiTm5Te6: relaxed, PBE.

Cell and atoms, written as POSCAR:
```
LiTm5Te6
1.0
3.708 -6.418 0.000
3.708 6.418 0.000
-2.479 0.000 7.012
Li Tm Te
1 5 6
direct
0.000 0.000 0.000 Li
0.170 0.830 0.500 Tm
0.336 0.664 0.000 Tm
0.500 0.500 0.500 Tm
0.664 0.336 0.000 Tm
0.830 0.170 0.500 Tm
0.080 0.405 0.244 Te
0.241 0.241 0.754 Te
0.405 0.080 0.244 Te
0.595 0.920 0.756 Te
0.759 0.759 0.246 Te
0.920 0.595 0.756 Te
```

Results
* SG: C2/m (12)
* calculated volume: 27.81 Å³ per atom
* density of states at the Fermi level: 5.10 states/eV/cell
* uncorrected formation energy: -28.2 kcal/mol of atoms

=====

LiTm2Te3: relaxed, PBE.

Cell and atoms, written as POSCAR:
```
LiTm2Te3
1.0
-2.129 3.041 6.439
2.129 -3.041 6.439
2.129 3.041 -6.439
Li Tm Te
1 2 3
direct
0.000 0.000 0.000 Li
0.332 0.332 0.000 Tm
0.668 0.668 0.000 Tm
0.161 0.661 0.500 Te
0.500 0.000 0.500 Te
0.839 0.339 0.500 Te
```

Results
* SG: Immm (71)
* ΔE to the lowest computed polymorph: 0.0 meV/atom
* calculated volume: 27.79 Å³ per atom
* density of states at the Fermi level: 1.95 states/eV/cell
* uncorrected formation energy: -28.8 kcal/mol of atoms

=====

LiTm3Te3: relaxed, PBE.

Cell and atoms, written as POSCAR:
```
LiTm3Te3
1.0
4.337 2.504 6.060
-4.337 2.504 6.060
0.000 -5.008 6.060
Li Tm Te
2 6 6
direct
0.169 0.169 0.169 Li
0.831 0.831 0.831 Li
0.180 0.666 0.411 Tm
0.334 0.589 0.820 Tm
0.411 0.180 0.666 Tm
0.589 0.820 0.334 Tm
0.666 0.411 0.180 Tm
0.820 0.334 0.589 Tm
0.006 0.433 0.804 Te
0.196 0.994 0.567 Te
0.433 0.804 0.006 Te
0.567 0.196 0.994 Te
0.804 0.006 0.433 Te
0.994 0.567 0.196 Te
```

Results
* SG: R-3 (148)
* calculated volume: 28.20 Å³ per atom
* density of states at the Fermi level: 12.92 states/eV/cell
* uncorrected formation energy: -21.1 kcal/mol of atoms

=====

LiTmTe: relaxed, PBE.

Cell and atoms, written as POSCAR:
```
LiTmTe
1.0
4.409 0.000 0.000
-2.204 3.818 0.000
0.000 0.000 3.909
Li Tm Te
1 1 1
direct
0.000 0.000 0.000 Li
0.667 0.333 0.500 Tm
0.333 0.667 0.000 Te
```

Results
* SG: P-6m2 (187)
* ΔE to the lowest computed polymorph: 0.0 meV/atom
* calculated volume: 21.94 Å³ per atom
* density of states at the Fermi level: 0.37 states/eV/cell
* uncorrected formation energy: -17.8 kcal/mol of atoms

=====

LiTm2Te: relaxed, PBE.

Cell and atoms, written as POSCAR:
```
LiTm2Te
1.0
1.885 1.088 10.665
-1.885 1.088 10.665
0.000 -2.177 10.665
Li Tm Te
1 2 1
direct
0.000 0.000 0.000 Li
0.102 0.102 0.102 Tm
0.898 0.898 0.898 Tm
0.500 0.500 0.500 Te
```

Results
* SG: R-3m (166)
* calculated volume: 32.83 Å³ per atom
* density of states at the Fermi level: 3.46 states/eV/cell
* uncorrected formation energy: -4.1 kcal/mol of atoms

=====

Li3Tm5Te8: relaxed, PBE.

Cell and atoms, written as POSCAR:
```
Li3Tm5Te8
1.0
4.276 2.469 7.036
-4.276 2.469 7.036
0.000 -4.937 7.036
Li Tm Te
3 5 8
direct
0.000 0.500 0.500 Li
0.500 0.000 0.500 Li
0.500 0.500 0.000 Li
0.000 0.000 0.000 Tm
0.000 0.000 0.500 Tm
0.000 0.500 0.000 Tm
0.500 0.000 0.000 Tm
0.500 0.500 0.500 Tm
0.250 0.250 0.744 Te
0.250 0.744 0.250 Te
0.252 0.252 0.252 Te
0.256 0.750 0.750 Te
0.744 0.250 0.250 Te
0.748 0.748 0.748 Te
0.750 0.256 0.750 Te
0.750 0.750 0.256 Te
```

Results
* SG: R-3m (166)
* calculated volume: 27.85 Å³ per atom
* density of states at the Fermi level: 3.85 states/eV/cell
* uncorrected formation energy: -29.2 kcal/mol of atoms

=====

LiTm2Te4: relaxed, PBE.

Cell and atoms, written as POSCAR:
```
LiTm2Te4
1.0
2.075 -7.068 0.000
2.075 7.068 0.000
0.000 0.000 14.960
Li Tm Te
2 4 8
direct
0.120 0.880 0.750 Li
0.880 0.120 0.250 Li
0.361 0.639 0.570 Tm
0.361 0.639 0.930 Tm
0.639 0.361 0.070 Tm
0.639 0.361 0.430 Tm
0.000 0.000 0.000 Te
0.000 0.000 0.500 Te
0.281 0.719 0.121 Te
0.281 0.719 0.379 Te
0.461 0.539 0.750 Te
0.539 0.461 0.250 Te
0.719 0.281 0.621 Te
0.719 0.281 0.879 Te
```

Results
* SG: Cmcm (63)
* calculated volume: 31.34 Å³ per atom
* density of states at the Fermi level: 7.14 states/eV/cell
* uncorrected formation energy: -25.0 kcal/mol of atoms

=====

Li3Tm2UTe6: relaxed, PBE.

Cell and atoms, written as POSCAR:
```
Li3Tm2UTe6
1.0
3.744 -6.484 0.000
3.744 6.484 0.000
-2.496 0.000 7.072
Li Tm U Te
3 2 1 6
direct
0.000 0.000 0.000 Li
0.334 0.666 0.000 Li
0.666 0.334 0.000 Li
0.167 0.833 0.500 Tm
0.833 0.167 0.500 Tm
0.500 0.500 0.500 U
0.074 0.415 0.244 Te
0.245 0.245 0.756 Te
0.415 0.074 0.244 Te
0.585 0.926 0.756 Te
0.755 0.755 0.244 Te
0.926 0.585 0.756 Te
```

Results
* SG: C2/m (12)
* calculated volume: 28.61 Å³ per atom
* density of states at the Fermi level: 7.45 states/eV/cell
* uncorrected formation energy: -25.0 kcal/mol of atoms

=====

Li2TmUTe4: relaxed, PBE.

Cell and atoms, written as POSCAR:
```
Li2TmUTe4
1.0
7.486 0.000 0.000
0.000 4.303 0.000
-2.487 0.000 7.094
Li Tm U Te
2 1 1 4
direct
0.000 0.000 0.000 Li
0.500 0.500 0.000 Li
0.000 0.500 0.500 Tm
0.500 0.000 0.500 U
0.241 0.500 0.241 Te
0.247 0.000 0.755 Te
0.753 0.000 0.245 Te
0.759 0.500 0.759 Te
```

Results
* SG: P2/m (10)
* calculated volume: 28.57 Å³ per atom
* density of states at the Fermi level: 8.39 states/eV/cell
* uncorrected formation energy: -23.0 kcal/mol of atoms

=====

Li3TmU2Te6: relaxed, PBE.

Cell and atoms, written as POSCAR:
```
Li3TmU2Te6
1.0
3.732 -6.465 0.000
3.732 6.465 0.000
-2.485 0.000 7.120
Li Tm U Te
3 1 2 6
direct
0.000 0.000 0.000 Li
0.334 0.666 0.000 Li
0.666 0.334 0.000 Li
0.500 0.500 0.500 Tm
0.167 0.833 0.500 U
0.833 0.167 0.500 U
0.086 0.414 0.241 Te
0.258 0.258 0.758 Te
0.414 0.086 0.241 Te
0.586 0.914 0.759 Te
0.742 0.742 0.242 Te
0.914 0.586 0.759 Te
```

Results
* SG: C2/m (12)
* calculated volume: 28.64 Å³ per atom
* density of states at the Fermi level: 11.71 states/eV/cell
* uncorrected formation energy: -21.1 kcal/mol of atoms

=====

LiY2Tm3Te6: relaxed, PBE.

Cell and atoms, written as POSCAR:
```
LiY2Tm3Te6
1.0
9.425 -2.154 0.000
9.425 2.154 0.000
-1.991 0.000 8.407
Li Y Tm Te
1 2 3 6
direct
0.000 0.000 0.000 Li
0.329 0.329 0.658 Y
0.671 0.671 0.342 Y
0.000 0.000 0.500 Tm
0.331 0.331 0.169 Tm
0.669 0.669 0.831 Tm
0.163 0.163 0.078 Te
0.163 0.163 0.588 Te
0.499 0.499 0.244 Te
0.501 0.501 0.756 Te
0.837 0.837 0.412 Te
0.837 0.837 0.922 Te
```

Results
* SG: C2/m (12)
* calculated volume: 28.45 Å³ per atom
* density of states at the Fermi level: 3.86 states/eV/cell
* uncorrected formation energy: -29.3 kcal/mol of atoms

=====

Li2YTmTe4: relaxed, PBE.

Cell and atoms, written as POSCAR:
```
Li2YTmTe4
1.0
7.482 0.000 0.000
0.000 4.325 0.000
-2.493 0.000 7.058
Li Y Tm Te
2 1 1 4
direct
0.000 0.000 0.000 Li
0.000 0.500 0.500 Li
0.500 0.000 0.500 Y
0.500 0.500 0.000 Tm
0.245 0.500 0.246 Te
0.247 0.000 0.752 Te
0.753 0.000 0.248 Te
0.755 0.500 0.754 Te
```

Results
* SG: P2/m (10)
* calculated volume: 28.54 Å³ per atom
* uncorrected formation energy: -29.7 kcal/mol of atoms

=====

LiY2TmTe4: relaxed, PBE.

Cell and atoms, written as POSCAR:
```
LiY2TmTe4
1.0
7.477 0.000 0.000
0.000 4.300 0.000
-2.460 0.000 7.097
Li Y Tm Te
1 2 1 4
direct
0.000 0.000 0.000 Li
0.000 0.500 0.500 Y
0.500 0.000 0.500 Y
0.500 0.500 0.000 Tm
0.243 0.500 0.239 Te
0.248 0.000 0.759 Te
0.752 0.000 0.241 Te
0.757 0.500 0.761 Te
```

Results
* SG: P2/m (10)
* calculated volume: 28.53 Å³ per atom
* density of states at the Fermi level: 3.28 states/eV/cell
* uncorrected formation energy: -30.0 kcal/mol of atoms

=====

Li4YTm3Te8: relaxed, PBE.

Cell and atoms, written as POSCAR:
```
Li4YTm3Te8
1.0
4.312 2.490 7.051
-4.312 2.490 7.051
0.000 -4.979 7.051
Li Y Tm Te
4 1 3 8
direct
0.000 0.000 0.000 Li
0.000 0.500 0.500 Li
0.500 0.000 0.500 Li
0.500 0.500 0.000 Li
0.500 0.500 0.500 Y
0.000 0.000 0.500 Tm
0.000 0.500 0.000 Tm
0.500 0.000 0.000 Tm
0.247 0.247 0.751 Te
0.247 0.751 0.247 Te
0.249 0.753 0.753 Te
0.251 0.251 0.251 Te
0.749 0.749 0.749 Te
0.751 0.247 0.247 Te
0.753 0.249 0.753 Te
0.753 0.753 0.249 Te
```

Results
* SG: R-3m (166)
* calculated volume: 28.38 Å³ per atom
* uncorrected formation energy: -29.5 kcal/mol of atoms

=====

LiYTmTe3: relaxed, PBE.

Cell and atoms, written as POSCAR:
```
LiYTmTe3
1.0
8.805 0.000 0.000
0.000 4.203 0.000
-2.254 0.000 9.164
Li Y Tm Te
2 2 2 6
direct
0.085 0.250 0.085 Li
0.915 0.750 0.915 Li
0.187 0.250 0.733 Y
0.813 0.750 0.267 Y
0.331 0.750 0.335 Tm
0.669 0.250 0.665 Tm
0.090 0.250 0.377 Te
0.239 0.750 0.997 Te
0.425 0.750 0.670 Te
0.575 0.250 0.330 Te
0.761 0.250 0.003 Te
0.910 0.750 0.623 Te
```

Results
* SG: P2_1/m (11)
* calculated volume: 28.26 Å³ per atom
* density of states at the Fermi level: 5.74 states/eV/cell
* uncorrected formation energy: -27.9 kcal/mol of atoms

=====

LiY3Tm2Te6: relaxed, PBE.

Cell and atoms, written as POSCAR:
```
LiY3Tm2Te6
1.0
9.435 -2.159 0.000
9.435 2.159 0.000
-2.029 0.000 8.415
Li Y Tm Te
1 3 2 6
direct
0.000 0.000 0.000 Li
0.000 0.000 0.500 Y
0.332 0.332 0.171 Y
0.668 0.668 0.829 Y
0.332 0.332 0.663 Tm
0.668 0.668 0.337 Tm
0.162 0.162 0.084 Te
0.167 0.167 0.580 Te
0.499 0.499 0.760 Te
0.501 0.501 0.240 Te
0.833 0.833 0.420 Te
0.838 0.838 0.916 Te
```

Results
* SG: C2/m (12)
* calculated volume: 28.57 Å³ per atom
* density of states at the Fermi level: 4.37 states/eV/cell
* uncorrected formation energy: -29.6 kcal/mol of atoms

=====

LiYTm2Te4: relaxed, PBE.

Cell and atoms, written as POSCAR:
```
LiYTm2Te4
1.0
7.466 0.000 0.000
0.000 4.287 0.000
-2.455 0.000 7.075
Li Y Tm Te
1 1 2 4
direct
0.000 0.000 0.000 Li
0.000 0.500 0.500 Y
0.500 0.000 0.500 Tm
0.500 0.500 0.000 Tm
0.247 0.500 0.243 Te
0.250 0.000 0.757 Te
0.750 0.000 0.243 Te
0.753 0.500 0.757 Te
```

Results
* SG: P2/m (10)
* calculated volume: 28.31 Å³ per atom
* density of states at the Fermi level: 3.02 states/eV/cell
* uncorrected formation energy: -29.3 kcal/mol of atoms